(1)
{
  "formula": "ErMg2Al3Ge2Pt",
  "functional": "GGA-PBE",
  "state": "optimized geometry",
  "space_group": "No. 38",
  "total_magnetization_mub_per_atom": 0.00,
  "density_g_cm3": 6.42,
  "energy_ev_per_atom": -4.4312,
  "lattice_angstrom": [[4.140, 0.000, 0.000], [0.000, 5.885, 3.384], [0.000, -5.885, 3.384]],
  "species": ["Er", "Mg", "Mg", "Al", "Al", "Al", "Ge", "Ge", "Pt"],
  "frac_coords": [[0.000, 0.000, 0.000], [0.000, 0.170, 0.578], [0.000, 0.578, 0.170], [0.500, 0.338, 0.338], [0.500, 0.576, 0.813], [0.500, 0.813, 0.576], [0.500, 0.244, 0.900], [0.500, 0.900, 0.244], [0.000, 0.565, 0.565]]
}

=====

(2)
{
  "formula": "Er5Al3Ni3Ge4",
  "functional": "GGA-PBE",
  "state": "optimized geometry",
  "space_group": "No. 59",
  "total_magnetization_mub_per_atom": 0.00,
  "density_g_cm3": 8.37,
  "energy_ev_per_atom": -5.4065,
  "lattice_angstrom": [[4.177, 0.000, 0.000], [0.000, 19.140, 0.000], [0.000, 0.000, 6.870]],
  "species": ["Er", "Er", "Er", "Er", "Er", "Er", "Er", "Er", "Er", "Er", "Al", "Al", "Al", "Al", "Al", "Al", "Ni", "Ni", "Ni", "Ni", "Ni", "Ni", "Ge", "Ge", "Ge", "Ge", "Ge", "Ge", "Ge", "Ge"],
  "frac_coords": [[0.250, 0.071, 0.000], [0.250, 0.119, 0.496], [0.250, 0.250, 0.114], [0.250, 0.381, 0.496], [0.250, 0.429, 0.000], [0.750, 0.571, 0.000], [0.750, 0.619, 0.504], [0.750, 0.750, 0.886], [0.750, 0.881, 0.504], [0.750, 0.929, 0.000], [0.250, 0.678, 0.184], [0.250, 0.750, 0.527], [0.250, 0.822, 0.184], [0.750, 0.178, 0.816], [0.750, 0.250, 0.473], [0.750, 0.322, 0.816], [0.250, 0.250, 0.706], [0.250, 0.526, 0.666], [0.250, 0.974, 0.666], [0.750, 0.026, 0.334], [0.750, 0.474, 0.334], [0.750, 0.750, 0.294], [0.250, 0.539, 0.297], [0.250, 0.646, 0.790], [0.250, 0.854, 0.790], [0.250, 0.961, 0.297], [0.750, 0.039, 0.703], [0.750, 0.146, 0.210], [0.750, 0.354, 0.210], [0.750, 0.461, 0.703]]
}

=====

(3)
{
  "formula": "ErTm2Al3NiGe2",
  "functional": "GGA-PBE",
  "state": "optimized geometry",
  "space_group": "No. 38",
  "total_magnetization_mub_per_atom": 0.00,
  "density_g_cm3": 7.73,
  "energy_ev_per_atom": -5.1377,
  "lattice_angstrom": [[4.141, 0.000, 0.000], [0.000, 5.958, 3.439], [0.000, -5.958, 3.439]],
  "species": ["Er", "Tm", "Tm", "Al", "Al", "Al", "Ni", "Ge", "Ge"],
  "frac_coords": [[0.000, 0.000, 0.000], [0.000, 0.194, 0.597], [0.000, 0.597, 0.194], [0.500, 0.367, 0.367], [0.500, 0.597, 0.826], [0.500, 0.826, 0.597], [0.000, 0.596, 0.596], [0.500, 0.264, 0.930], [0.500, 0.930, 0.264]]
}

=====

(4)
{
  "formula": "Y2ErAl3NiGe2",
  "functional": "GGA-PBE",
  "state": "optimized geometry",
  "space_group": "No. 38",
  "total_magnetization_mub_per_atom": 0.00,
  "density_g_cm3": 6.02,
  "energy_ev_per_atom": -5.5884,
  "lattice_angstrom": [[4.173, 0.000, 0.000], [0.000, 6.003, 3.467], [0.000, -6.003, 3.467]],
  "species": ["Y", "Y", "Er", "Al", "Al", "Al", "Ni", "Ge", "Ge"],
  "frac_coords": [[0.000, 0.202, 0.798], [0.000, 0.798, 0.202], [0.000, 0.604, 0.604], [0.500, 0.203, 0.431], [0.500, 0.431, 0.203], [0.500, 0.973, 0.973], [0.000, 0.205, 0.205], [0.500, 0.536, 0.867], [0.500, 0.867, 0.536]]
}

=====

(5)
{
  "formula": "YEr2Al3NiGe2",
  "functional": "GGA-PBE",
  "state": "optimized geometry",
  "space_group": "No. 38",
  "total_magnetization_mub_per_atom": 0.00,
  "density_g_cm3": 6.83,
  "energy_ev_per_atom": -5.3746,
  "lattice_angstrom": [[4.163, 0.000, 0.000], [0.000, 5.989, 3.455], [0.000, -5.989, 3.455]],
  "species": ["Y", "Er", "Er", "Al", "Al", "Al", "Ni", "Ge", "Ge"],
  "frac_coords": [[0.000, 0.000, 0.000], [0.000, 0.193, 0.596], [0.000, 0.596, 0.193], [0.500, 0.367, 0.367], [0.500, 0.595, 0.825], [0.500, 0.825, 0.595], [0.000, 0.593, 0.593], [0.500, 0.265, 0.929], [0.500, 0.929, 0.265]]
}

=====

(6)
{
  "formula": "ErAlGeO5",
  "functional": "GGA-PBE",
  "state": "optimized geometry",
  "space_group": "No. 55",
  "total_magnetization_mub_per_atom": 0.00,
  "density_g_cm3": 6.90,
  "energy_ev_per_atom": -7.4667,
  "lattice_angstrom": [[7.182, 0.000, 0.000], [0.000, 8.304, 0.000], [0.000, 0.000, 5.603]],
  "species": ["Er", "Er", "Er", "Er", "Al", "Al", "Al", "Al", "Ge", "Ge", "Ge", "Ge", "O", "O", "O", "O", "O", "O", "O", "O", "O", "O", "O", "O", "O", "O", "O", "O", "O", "O", "O", "O"],
  "frac_coords": [[0.141, 0.173, 0.000], [0.359, 0.673, 0.000], [0.641, 0.327, 0.000], [0.859, 0.827, 0.000], [0.000, 0.500, 0.248], [0.000, 0.500, 0.752], [0.500, 0.000, 0.248], [0.500, 0.000, 0.752], [0.120, 0.854, 0.500], [0.380, 0.354, 0.500], [0.620, 0.646, 0.500], [0.880, 0.146, 0.500], [0.000, 0.000, 0.283], [0.000, 0.000, 0.717], [0.108, 0.712, 0.250], [0.108, 0.712, 0.750], [0.152, 0.430, 0.500], [0.165, 0.445, 0.000], [0.335, 0.945, 0.000], [0.348, 0.930, 0.500], [0.392, 0.212, 0.250], [0.392, 0.212, 0.750], [0.500, 0.500, 0.283], [0.500, 0.500, 0.717], [0.608, 0.788, 0.250], [0.608, 0.788, 0.750], [0.652, 0.070, 0.500], [0.665, 0.055, 0.000], [0.835, 0.555, 0.000], [0.848, 0.570, 0.500], [0.892, 0.288, 0.250], [0.892, 0.288, 0.750]]
}

=====

(7)
{
  "formula": "Er3Al3GePd2",
  "functional": "GGA-PBE",
  "state": "optimized geometry",
  "space_group": "No. 189",
  "total_magnetization_mub_per_atom": 0.00,
  "density_g_cm3": 8.00,
  "energy_ev_per_atom": -5.1915,
  "lattice_angstrom": [[7.400, 0.000, 0.000], [-3.700, 6.409, 0.000], [0.000, 0.000, 3.801]],
  "species": ["Er", "Er", "Er", "Al", "Al", "Al", "Ge", "Pd", "Pd"],
  "frac_coords": [[0.000, 0.399, 0.000], [0.399, 0.000, 0.000], [0.601, 0.601, 0.000], [0.000, 0.737, 0.500], [0.263, 0.263, 0.500], [0.737, 0.000, 0.500], [0.000, 0.000, 0.000], [0.333, 0.667, 0.500], [0.667, 0.333, 0.500]]
}

=====

(8)
{
  "formula": "Er3Al3GePd2",
  "functional": "GGA-PBE",
  "state": "optimized geometry",
  "space_group": "No. 189",
  "total_magnetization_mub_per_atom": 0.00,
  "density_g_cm3": 7.56,
  "energy_ev_per_atom": -4.8556,
  "lattice_angstrom": [[7.552, 0.000, 0.000], [-3.776, 6.540, 0.000], [0.000, 0.000, 3.861]],
  "species": ["Er", "Er", "Er", "Al", "Al", "Al", "Ge", "Pd", "Pd"],
  "frac_coords": [[0.000, 0.724, 0.000], [0.276, 0.276, 0.000], [0.724, 0.000, 0.000], [0.000, 0.405, 0.500], [0.405, 0.000, 0.500], [0.595, 0.595, 0.500], [0.000, 0.000, 0.500], [0.333, 0.667, 0.000], [0.667, 0.333, 0.000]]
}

=====

(9)
{
  "formula": "YErAl3Ge2",
  "functional": "GGA-PBE",
  "state": "optimized geometry",
  "space_group": "No. 8",
  "total_magnetization_mub_per_atom": 0.00,
  "density_g_cm3": 5.79,
  "energy_ev_per_atom": -5.0356,
  "lattice_angstrom": [[5.123, -2.034, 0.000], [5.123, 2.034, 0.000], [-1.160, 0.000, 6.642]],
  "species": ["Y", "Er", "Al", "Al", "Al", "Ge", "Ge"],
  "frac_coords": [[0.000, 0.000, 0.000], [0.768, 0.768, 0.368], [0.082, 0.082, 0.559], [0.383, 0.383, 0.683], [0.687, 0.687, 0.807], [0.284, 0.284, 0.044], [0.484, 0.484, 0.327]]
}

=====

(10)
{
  "formula": "Er3Al2Ni6H7",
  "functional": "GGA-PBE",
  "state": "optimized geometry",
  "space_group": "No. 229",
  "total_magnetization_mub_per_atom": 0.00,
  "density_g_cm3": 8.15,
  "energy_ev_per_atom": -4.8159,
  "lattice_angstrom": [[-4.534, 4.534, 4.534], [4.534, -4.534, 4.534], [4.534, 4.534, -4.534]],
  "species": ["Er", "Er", "Er", "Er", "Er", "Er", "Al", "Al", "Al", "Al", "Ni", "Ni", "Ni", "Ni", "Ni", "Ni", "Ni", "Ni", "Ni", "Ni", "Ni", "Ni", "H", "H", "H", "H", "H", "H", "H", "H", "H", "H", "H", "H", "H", "H"],
  "frac_coords": [[0.000, 0.281, 0.281], [0.000, 0.719, 0.719], [0.281, 0.000, 0.281], [0.281, 0.281, 0.000], [0.719, 0.000, 0.719], [0.719, 0.719, 0.000], [0.000, 0.000, 0.500], [0.000, 0.500, 0.000], [0.500, 0.000, 0.000], [0.500, 0.500, 0.500], [0.000, 0.333, 0.667], [0.000, 0.667, 0.333], [0.333, 0.000, 0.667], [0.333, 0.333, 0.665], [0.333, 0.665, 0.333], [0.333, 0.667, 0.000], [0.335, 0.667, 0.667], [0.665, 0.333, 0.333], [0.667, 0.000, 0.333], [0.667, 0.333, 0.000], [0.667, 0.335, 0.667], [0.667, 0.667, 0.335], [0.000, 0.000, 0.246], [0.000, 0.000, 0.754], [0.000, 0.246, 0.000], [0.000, 0.754, 0.000], [0.246, 0.000, 0.000], [0.246, 0.246, 0.246], [0.250, 0.500, 0.750], [0.250, 0.750, 0.500], [0.500, 0.250, 0.750], [0.500, 0.750, 0.250], [0.750, 0.250, 0.500], [0.750, 0.500, 0.250], [0.754, 0.000, 0.000], [0.754, 0.754, 0.754]]
}

=====

(11)
{
  "formula": "ErHfAl2Pd4",
  "functional": "GGA-PBE",
  "state": "optimized geometry",
  "space_group": "No. 187",
  "total_magnetization_mub_per_atom": 0.00,
  "density_g_cm3": 9.64,
  "energy_ev_per_atom": -6.2235,
  "lattice_angstrom": [[4.315, 0.000, 0.000], [-2.157, 3.736, 0.000], [0.000, 0.000, 8.817]],
  "species": ["Er", "Hf", "Al", "Al", "Pd", "Pd", "Pd", "Pd"],
  "frac_coords": [[0.000, 0.000, 0.000], [0.333, 0.667, 0.500], [0.667, 0.333, 0.260], [0.667, 0.333, 0.740], [0.000, 0.000, 0.342], [0.000, 0.000, 0.658], [0.333, 0.667, 0.175], [0.333, 0.667, 0.825]]
}

=====

(12)
{
  "formula": "Ho2ErMg3Al2Hg",
  "functional": "GGA-PBE",
  "state": "optimized geometry",
  "space_group": "No. 38",
  "total_magnetization_mub_per_atom": 0.00,
  "density_g_cm3": 6.46,
  "energy_ev_per_atom": -3.2630,
  "lattice_angstrom": [[4.502, 0.000, 0.000], [0.000, 6.378, 3.690], [0.000, -6.378, 3.690]],
  "species": ["Ho", "Ho", "Er", "Mg", "Mg", "Mg", "Al", "Al", "Hg"],
  "frac_coords": [[0.000, 0.213, 0.787], [0.000, 0.787, 0.213], [0.000, 0.640, 0.640], [0.500, 0.213, 0.458], [0.500, 0.458, 0.213], [0.500, 0.969, 0.969], [0.500, 0.547, 0.880], [0.500, 0.880, 0.547], [0.000, 0.214, 0.214]]
}

=====

What did the sixth record say?
{
  "formula": "ErAlGeO5",
  "functional": "GGA-PBE",
  "state": "optimized geometry",
  "space_group": "No. 55",
  "total_magnetization_mub_per_atom": 0.00,
  "density_g_cm3": 6.90,
  "energy_ev_per_atom": -7.4667,
  "lattice_angstrom": [[7.182, 0.000, 0.000], [0.000, 8.304, 0.000], [0.000, 0.000, 5.603]],
  "species": ["Er", "Er", "Er", "Er", "Al", "Al", "Al", "Al", "Ge", "Ge", "Ge", "Ge", "O", "O", "O", "O", "O", "O", "O", "O", "O", "O", "O", "O", "O", "O", "O", "O", "O", "O", "O", "O"],
  "frac_coords": [[0.141, 0.173, 0.000], [0.359, 0.673, 0.000], [0.641, 0.327, 0.000], [0.859, 0.827, 0.000], [0.000, 0.500, 0.248], [0.000, 0.500, 0.752], [0.500, 0.000, 0.248], [0.500, 0.000, 0.752], [0.120, 0.854, 0.500], [0.380, 0.354, 0.500], [0.620, 0.646, 0.500], [0.880, 0.146, 0.500], [0.000, 0.000, 0.283], [0.000, 0.000, 0.717], [0.108, 0.712, 0.250], [0.108, 0.712, 0.750], [0.152, 0.430, 0.500], [0.165, 0.445, 0.000], [0.335, 0.945, 0.000], [0.348, 0.930, 0.500], [0.392, 0.212, 0.250], [0.392, 0.212, 0.750], [0.500, 0.500, 0.283], [0.500, 0.500, 0.717], [0.608, 0.788, 0.250], [0.608, 0.788, 0.750], [0.652, 0.070, 0.500], [0.665, 0.055, 0.000], [0.835, 0.555, 0.000], [0.848, 0.570, 0.500], [0.892, 0.288, 0.250], [0.892, 0.288, 0.750]]
}